Entry 1:
Compound: Sr3Ni4Sb4
Source: the Alexandria database
Functional: GGA-PBE
Structure: optimized geometry

Summary:
Formation energy without anion corrections = -0.53 eV per atom
Magnetization = 0.0 μB per cell
Symmetry = No. 217

Cell and atoms, written as POSCAR:
```
Sr3Ni4Sb4
1.0
6.521 0.000 -2.305
-3.260 5.647 -2.305
0.000 0.000 6.916
Sb Ni Sr
4 4 3
Direct
0.375 0.375 0.375
0.625 0.000 0.000
0.000 0.000 0.625
0.000 0.625 0.000
0.000 0.000 0.259
0.259 0.000 0.000
0.000 0.259 0.000
0.741 0.741 0.741
0.000 0.500 0.500
0.500 0.500 0.000
0.500 0.000 0.500
```

---

Entry 2:
Compound: ZrCuMoOs2
Source: the Alexandria database
Functional: GGA-PBE
Structure: optimized geometry

Summary:
Magnetization = 0.0 μB per cell
Symmetry = No. 123
Energy of formation from the pure elements = 1.470 eV/atom

Cell and atoms, written as POSCAR:
```
ZrCuMoOs2
1.0
-1.892 -0.858 -3.961
2.507 -3.762 -0.383
-3.212 -2.348 2.043
Zr Os Cu Mo
1 2 1 1
Direct
0.000 0.500 0.000
0.500 0.000 0.000
0.000 0.000 0.500
0.000 0.000 0.000
0.500 0.500 0.500
```

---

Entry 3:
Compound: HoTm2Hg
Source: the Alexandria database
Functional: GGA-PBE
Structure: optimized geometry

Summary:
Magnetization = 0.0 μB per cell
Symmetry = No. 166
Energy of formation from the pure elements = -0.161 eV/atom

Cell and atoms, written as POSCAR:
```
HoTm2Hg
1.0
3.559 0.000 0.000
1.779 3.082 0.000
1.779 1.027 10.438
Tm Ho Hg
2 1 1
Direct
0.257 0.257 0.229
0.743 0.743 0.771
0.500 0.500 0.500
0.000 0.000 0.000
```

---

Calculated calculated total energy in order - -50.5; -38.6; -14.5 eV per cell